(1)
# In2SbTe2Pd7

An optimized crystal structure of In2SbTe2Pd7 (PBE-GGA, the Alexandria database).

```
In2SbTe2Pd7
1.0
2.814 -2.820 0.000
2.814 2.820 0.000
-1.519 0.000 15.366
In Sb Te Pd
2 1 2 7
Direct
0.073 0.073 0.255
0.927 0.927 0.745
0.500 0.500 0.000
0.352 0.352 0.601
0.648 0.648 0.399
0.000 0.000 0.000
0.039 0.539 0.133
0.158 0.158 0.430
0.461 0.961 0.867
0.539 0.039 0.133
0.842 0.842 0.570
0.961 0.461 0.867
```

Computed properties:
For the uncorrected formation energy, the calculation gives -30.02 kJ per mole of atoms. The calculation puts the total moment at 0.000 μB/cell.

(2)
# ThIn2Sb2Pd7

An optimized crystal structure of ThIn2Sb2Pd7 (PBE-GGA, the Alexandria database).

```
ThIn2Sb2Pd7
1.0
2.877 -2.894 0.000
2.877 2.894 0.000
-1.542 0.000 15.543
Th In Sb Pd
1 2 2 7
Direct
0.000 0.000 0.000
0.125 0.125 0.414
0.875 0.875 0.586
0.428 0.428 0.748
0.572 0.572 0.252
0.040 0.540 0.140
0.383 0.383 0.579
0.460 0.960 0.860
0.500 0.500 0.000
0.540 0.040 0.140
0.617 0.617 0.421
0.960 0.460 0.860
```

Computed properties:
For the uncorrected formation energy, the calculation gives -47.68 kJ per mole of atoms. The calculation puts the total moment at 0.000 μB/cell.

(3)
# InSbPdW2

An optimized crystal structure of InSbPdW2 (PBE-GGA, the Alexandria database).

```
InSbPdW2
1.0
4.937 0.000 0.000
0.000 4.937 0.000
0.000 0.000 5.375
In Sb Pd W
1 1 1 2
Direct
0.000 0.000 0.000
0.000 0.000 0.500
0.500 0.500 0.000
0.000 0.500 0.500
0.500 0.000 0.500
```

Computed properties:
For the uncorrected formation energy, the calculation gives 218.49 kJ per mole of atoms. The calculation puts the total moment at 1.700 μB/cell.

(4)
# Sc5In4Pd

An optimized crystal structure of Sc5In4Pd (PBE-GGA, the Alexandria database).

```
Sc5In4Pd
1.0
3.318 0.000 0.000
0.000 3.318 0.000
0.000 0.000 19.710
Sc In Pd
5 4 1
Direct
0.000 0.000 0.000
0.000 0.000 0.209
0.000 0.000 0.417
0.000 0.000 0.583
0.000 0.000 0.791
0.500 0.500 0.104
0.500 0.500 0.313
0.500 0.500 0.687
0.500 0.500 0.896
0.500 0.500 0.500
```

Computed properties:
Its total energy is -0.1952 Ha/atom. The calculation puts the total moment at 0.595 μB/cell.